# 1
## In4GaPb15 (PBE-GGA)

Data for a geometry-optimized In4GaPb15 structure.

Unit cell a=4.941 b=4.941 c=24.882 alpha=90.00 beta=90.00 gamma=90.00
Positions (direct):
In (0.000, 0.000, 0.197)
In (0.000, 0.000, 0.399)
In (0.000, 0.000, 0.601)
In (0.000, 0.000, 0.803)
Ga (0.000, 0.000, 0.000)
Pb (0.500, 0.500, 0.000)
Pb (0.500, 0.500, 0.197)
Pb (0.500, 0.500, 0.400)
Pb (0.500, 0.500, 0.600)
Pb (0.500, 0.500, 0.803)
Pb (0.500, 0.000, 0.096)
Pb (0.500, 0.000, 0.299)
Pb (0.500, 0.000, 0.500)
Pb (0.500, 0.000, 0.701)
Pb (0.500, 0.000, 0.904)
Pb (0.000, 0.500, 0.096)
Pb (0.000, 0.500, 0.299)
Pb (0.000, 0.500, 0.500)
Pb (0.000, 0.500, 0.701)
Pb (0.000, 0.500, 0.904)

Values from the calculation:
Its energy of formation is 0.03 eV per atom. The calculation puts the raw total energy at -3.4528 eV per atom. As for the density of states at the Fermi level: 0.70 states/eV/atom.

---

# 2
## Pr5Nd4Dy2 (PBE-GGA)

Data for a geometry-optimized Pr5Nd4Dy2 structure.

Unit cell a=3.561 b=9.561 c=12.794 alpha=111.94 beta=98.00 gamma=90.00
Positions (direct):
Pr (0.849, 0.054, 0.697)
Pr (0.849, 0.643, 0.697)
Pr (0.151, 0.357, 0.303)
Pr (0.151, 0.946, 0.303)
Pr (0.500, 0.000, 0.000)
Nd (0.000, 0.298, 0.000)
Nd (0.595, 0.595, 0.191)
Nd (0.000, 0.702, 0.000)
Nd (0.405, 0.405, 0.809)
Dy (0.270, 0.270, 0.540)
Dy (0.730, 0.730, 0.460)

Values from the calculation:
Its energy of formation is 0.22 eV per atom. The calculation puts the raw total energy at -4.5249 eV per atom. The energy above the most stable polymorph in this dataset comes out at 89.5 kJ/mol of formula units. As for the density of states at the Fermi level: 1.49 states/eV/atom.

---

# 3
## CsNdCdBr6 (PBE-GGA)

Data for a geometry-optimized CsNdCdBr6 structure.

Unit cell a=7.490 b=7.490 c=15.994 alpha=90.00 beta=90.00 gamma=120.00
Positions (direct):
Cs (0.000, 0.000, 0.000)
Cs (0.000, 0.000, 0.500)
Nd (0.333, 0.667, 0.250)
Nd (0.667, 0.333, 0.750)
Cd (0.667, 0.333, 0.250)
Cd (0.333, 0.667, 0.750)
Br (0.621, 0.613, 0.145)
Br (0.991, 0.379, 0.145)
Br (0.379, 0.991, 0.645)
Br (0.009, 0.621, 0.855)
Br (0.387, 0.379, 0.355)
Br (0.991, 0.613, 0.355)
Br (0.613, 0.991, 0.855)
Br (0.621, 0.009, 0.355)
Br (0.009, 0.387, 0.645)
Br (0.387, 0.009, 0.145)
Br (0.613, 0.621, 0.645)
Br (0.379, 0.387, 0.855)

Values from the calculation:
The uncorrected formation energy comes out at -1.5382 eV/atom. The calculation puts the raw total energy at -3.3797 eV per atom. As for the density of states at the Fermi level: 0.00 states/eV/atom.

---

# 4
## ZnFeCu2 (PBE-GGA)

Data for a geometry-optimized ZnFeCu2 structure.

Unit cell a=4.393 b=4.393 c=4.393 alpha=129.01 beta=129.01 gamma=75.00
Positions (direct):
Cu (0.000, 0.000, 0.000)
Cu (0.250, 0.750, 0.500)
Fe (0.500, 0.500, 0.000)
Zn (0.750, 0.250, 0.500)

Values from the calculation:
Its energy of formation is 0.10 eV per atom. The calculation puts the raw total energy at -4.3811 eV per atom. As for the density of states at the Fermi level: 0.80 states/eV/atom.

---

# 5
## LaTcCl2 (PBE-GGA)

Data for a geometry-optimized LaTcCl2 structure.

Unit cell a=3.574 b=3.574 c=9.035 alpha=90.00 beta=90.00 gamma=123.09
Positions (direct):
Cl (0.000, 0.000, 0.986)
Cl (0.000, 0.000, 0.514)
Tc (0.500, 0.500, 0.750)
La (0.500, 0.500, 0.250)

Values from the calculation:
The uncorrected formation energy comes out at -0.1528 eV/atom. The calculation puts the raw total energy at -4.8995 eV per atom. The energy above the most stable polymorph in this dataset comes out at 234.2 kJ/mol of formula units. As for the density of states at the Fermi level: 0.65 states/eV/atom.

---

# 6
## CsVIN2 (PBE-GGA)

Data for a geometry-optimized CsVIN2 structure.

Unit cell a=4.448 b=4.448 c=5.628 alpha=90.00 beta=90.00 gamma=90.00
Positions (direct):
Cs (0.500, 0.500, 0.500)
I (0.000, 0.000, 0.500)
N (0.000, 0.500, 0.000)
N (0.500, 0.000, 0.000)
V (0.000, 0.000, 0.000)

Values from the calculation:
The uncorrected formation energy comes out at 0.6301 eV/atom. The calculation puts the raw total energy at -5.0045 eV per atom. The energy above the most stable polymorph in this dataset comes out at 0.0 kJ/mol of formula units. As for the density of states at the Fermi level: 0.32 states/eV/atom.

---

# 7
## Ba2Cd2P (PBE-GGA)

Data for a geometry-optimized Ba2Cd2P structure.

Unit cell a=4.072 b=4.072 c=10.660 alpha=78.99 beta=78.99 gamma=90.00
Positions (direct):
P (0.000, 0.000, 0.000)
Ba (0.418, 0.418, 0.164)
Ba (0.582, 0.582, 0.836)
Cd (0.750, 0.250, 0.500)
Cd (0.250, 0.750, 0.500)

Values from the calculation:
Its energy of formation is -0.48 eV per atom. The calculation puts the raw total energy at -2.6978 eV per atom. The energy above the most stable polymorph in this dataset comes out at 0.0 kJ/mol of formula units. As for the density of states at the Fermi level: 0.55 states/eV/atom.

---

# 8
## HfZn6Cu6 (PBE-GGA)

Data for a geometry-optimized HfZn6Cu6 structure.

Unit cell a=4.928 b=6.543 c=6.543 alpha=81.12 beta=67.88 gamma=67.88
Positions (direct):
Hf (0.000, 0.000, 0.000)
Zn (0.346, 0.654, 0.654)
Zn (0.654, 0.346, 0.346)
Zn (0.000, 0.341, 0.659)
Zn (0.000, 0.659, 0.341)
Zn (0.305, 0.195, 0.195)
Zn (0.695, 0.805, 0.805)
Cu (0.000, 0.500, 0.000)
Cu (0.500, 0.500, 0.000)
Cu (0.000, 0.000, 0.500)
Cu (0.500, 0.000, 0.500)
Cu (0.500, 0.779, 0.221)
Cu (0.500, 0.221, 0.779)

Values from the calculation:
Its energy of formation is -0.11 eV per atom. The calculation puts the raw total energy at -3.3512 eV per atom. As for the density of states at the Fermi level: 0.49 states/eV/atom.

---

# 9
## Rb2Tl2Co (PBE-GGA)

Data for a geometry-optimized Rb2Tl2Co structure.

Unit cell a=4.451 b=4.451 c=11.423 alpha=78.76 beta=78.76 gamma=90.00
Positions (direct):
Tl (0.750, 0.250, 0.500)
Tl (0.250, 0.750, 0.500)
Co (0.000, 0.000, 0.000)
Rb (0.405, 0.405, 0.190)
Rb (0.595, 0.595, 0.810)

Values from the calculation:
Its energy of formation is 0.59 eV per atom. The calculation puts the raw total energy at -2.1623 eV per atom. The energy above the most stable polymorph in this dataset comes out at 112.9 kJ/mol of formula units. As for the density of states at the Fermi level: 0.43 states/eV/atom.

---

# 10
## La7Ho3Tm (PBE-GGA)

Data for a geometry-optimized La7Ho3Tm structure.

Unit cell a=6.006 b=8.661 c=8.661 alpha=83.95 beta=110.29 gamma=110.29
Positions (direct):
La (0.211, 0.210, 0.210)
La (0.308, 0.021, 0.594)
La (0.692, 0.406, 0.979)
La (0.308, 0.594, 0.021)
La (0.000, 0.500, 0.500)
La (0.692, 0.979, 0.406)
La (0.789, 0.790, 0.790)
Ho (0.000, 0.795, 0.205)
Ho (0.500, 0.000, 0.000)
Ho (0.000, 0.205, 0.795)
Tm (0.500, 0.500, 0.500)

Values from the calculation:
Its energy of formation is 0.22 eV per atom. The calculation puts the raw total energy at -4.5727 eV per atom. The energy above the most stable polymorph in this dataset comes out at 113.4 kJ/mol of formula units. As for the density of states at the Fermi level: 1.39 states/eV/atom.

---

# 11
## Nd2YIn2 (PBE-GGA)

Data for a geometry-optimized Nd2YIn2 structure.

Unit cell a=5.041 b=6.077 c=6.077 alpha=71.14 beta=65.50 gamma=65.50
Positions (direct):
Nd (0.193, 0.307, 0.307)
Nd (0.807, 0.693, 0.693)
Y (0.000, 0.000, 0.000)
In (0.500, 0.288, 0.712)
In (0.500, 0.712, 0.288)

Values from the calculation:
Its energy of formation is -0.39 eV per atom. The calculation puts the raw total energy at -4.6874 eV per atom. The energy above the most stable polymorph in this dataset comes out at 0.0 kJ/mol of formula units. As for the density of states at the Fermi level: 0.93 states/eV/atom.

---

# 12
## LaNi5B2 (PBE-GGA)

Data for a geometry-optimized LaNi5B2 structure.

Unit cell a=3.483 b=5.656 c=5.656 alpha=66.83 beta=72.07 gamma=72.07
Positions (direct):
La (0.000, 0.000, 0.000)
Ni (0.000, 0.500, 0.500)
Ni (0.663, 0.526, 0.147)
Ni (0.337, 0.474, 0.853)
Ni (0.337, 0.853, 0.474)
Ni (0.663, 0.147, 0.526)
B (0.771, 0.729, 0.729)
B (0.229, 0.271, 0.271)

Values from the calculation:
Its energy of formation is -0.36 eV per atom. The calculation puts the raw total energy at -6.2595 eV per atom. As for the density of states at the Fermi level: 0.51 states/eV/atom.